NiMoNO2: relaxed, GGA+U.

Structure (extended XYZ):
```
5
Lattice="-2.0072 2.6807 1.9620 -2.6617 -2.6694 0.9241 2.0418 -0.8912 3.3065" Properties=species:S:1:pos:R:3 pbc="T T T"
N 1.0209 -0.4456 1.6533
O -1.0036 1.3403 0.9810
O -1.3308 -1.3347 0.4621
Ni -1.3136 -0.4400 3.0963
Mo 0.0000 0.0000 0.0000
```

Calculated values
Magnetic moment: 1.17 Bohr magnetons per cell
N(E_F): 0.4678 states/eV/atom
E: -0.425 Ry/atom
Symmetry: No. 123